# Ho2TaCl | Alexandria via LeMat-Bulk | PBE-GGA | relaxed
data_Ho2TaCl
_chemical_formula_sum 'Ho6 Ta3 Cl3'
_cell_length_a 3.204
_cell_length_b 3.204
_cell_length_c 31.492
_cell_angle_alpha 90.00
_cell_angle_beta 90.00
_cell_angle_gamma 120.00
_symmetry_space_group_name_H-M 'P 1'
_symmetry_Int_Tables_number 1
loop_
_symmetry_equiv_pos_as_xyz
'x,y,z'
loop_
_atom_site_label
_atom_site_fract_x
_atom_site_fract_y
_atom_site_fract_z
Ho1 0.000 0.000 0.095
Ho2 0.000 0.000 0.905
Ho3 0.333 0.667 0.572
Ho4 0.333 0.667 0.761
Ho5 0.667 0.333 0.239
Ho6 0.667 0.333 0.428
Ta1 0.000 0.000 0.000
Ta2 0.333 0.667 0.667
Ta3 0.667 0.333 0.333
Cl1 0.000 0.000 0.500
Cl2 0.333 0.667 0.167
Cl3 0.667 0.333 0.833
# **Total magnetization**: 0.974 μB per formula unit
# **ρ**: 9.7 Mg/m³
# **Space group**: R-3m, No. 166
# **E**: -5.7326 eV per atom
# **ΔE_f (raw)**: -0.019 eV per atom